Entry 1:
Below is a geometry-optimized PmTm2Ge structure, with properties calculated at the GGA-PBE level.

M_tot: 0.8 μB per formula unit
Fermi-level density of states: 1.151 states/eV/atom
energy relative to the lowest polymorph listed for this composition: 0.0 meV per atom
V: 446 Å³ per cell
energy of formation: -0.451 eV/atom

a = 4.1235 Å, b = 12.0286 Å, c = 8.9917 Å
α = 90.00°, β = 90.00°, γ = 90.00°
Space group Cmcm (No. 63)
Asymmetric unit:
1 Pm 0.0000 0.0637 0.2500 [4 per cell]
2 Tm 0.0000 0.3570 0.0563 [8 per cell]
3 Ge 0.0000 0.2458 0.7500 [4 per cell]

=====

Entry 2:
Below is a geometry-optimized Pm2TmGe structure, with properties calculated at the GGA-PBE level.

M_tot: 0.0 μB per formula unit
Fermi-level density of states: 0.866 states/eV/atom
energy relative to the lowest polymorph listed for this composition: 3.9 meV per atom
V: 110 Å³ per cell
energy of formation: -0.323 eV/atom

a = 4.1016 Å, b = 4.1016 Å, c = 6.5612 Å
α = 90.00°, β = 90.00°, γ = 90.00°
Space group P4/mmm (No. 123)
Asymmetric unit:
1 Pm 0.0000 0.0000 0.2238 [2 per cell]
2 Tm 0.5000 0.5000 0.5000 [1 per cell]
3 Ge 0.5000 0.5000 0.0000 [1 per cell]

=====

Entry 3:
Below is a geometry-optimized Pm3Tm2Ge2 structure, with properties calculated at the GGA-PBE level.

M_tot: 0.0 μB per formula unit
Fermi-level density of states: 0.925 states/eV/atom
V: 393 Å³ per cell
energy of formation: -0.507 eV/atom

a = 12.1064 Å, b = 4.1686 Å, c = 8.3063 Å
α = 90.00°, β = 110.38°, γ = 90.00°
Space group C2/m (No. 12)
Asymmetric unit:
1 Pm 0.0000 0.0000 0.0000 [2 per cell]
2 Pm 0.1280 0.0000 0.4382 [4 per cell]
3 Tm 0.1521 0.5000 0.8040 [4 per cell]
4 Ge 0.1801 0.5000 0.1930 [4 per cell]

=====

Entry 4:
Below is a geometry-optimized PmTmGe structure, with properties calculated at the GGA-PBE level.

M_tot: 0.0 μB per formula unit
Fermi-level density of states: 1.435 states/eV/atom
energy relative to the lowest polymorph listed for this composition: 0.0 meV per atom
V: 159 Å³ per cell
energy of formation: -0.608 eV/atom

a = 4.4055 Å, b = 4.4055 Å, c = 8.1705 Å
α = 90.00°, β = 90.00°, γ = 90.00°
Space group P4/nmm (No. 129, origin choice 2)
Asymmetric unit:
1 Pm 0.2500 0.2500 0.1455 [2 per cell]
2 Tm 0.2500 0.7500 0.5000 [2 per cell]
3 Ge 0.2500 0.2500 0.7662 [2 per cell]

=====

Entry 5:
Below is a geometry-optimized PmTm2Ge structure, with properties calculated at the GGA-PBE level.

M_tot: 0.0 μB per formula unit
Fermi-level density of states: 1.168 states/eV/atom
energy relative to the lowest polymorph listed for this composition: 126.5 meV per atom
V: 109 Å³ per cell
energy of formation: -0.325 eV/atom

a = 3.5745 Å, b = 3.5745 Å, c = 8.5622 Å
α = 90.00°, β = 90.00°, γ = 90.00°
Space group P4/mmm (No. 123)
Asymmetric unit:
1 Pm 0.0000 0.0000 0.0000 [1 per cell]
2 Tm 0.5000 0.5000 0.3022 [2 per cell]
3 Ge 0.0000 0.0000 0.5000 [1 per cell]

=====

Entry 6:
Below is a geometry-optimized Pm2TmGe structure, with properties calculated at the GGA-PBE level.

M_tot: 0.0 μB per formula unit
Fermi-level density of states: 1.321 states/eV/atom
energy relative to the lowest polymorph listed for this composition: 60.2 meV per atom
V: 234 Å³ per cell
energy of formation: -0.267 eV/atom

a = 5.4690 Å, b = 4.9542 Å, c = 8.6601 Å
α = 90.00°, β = 93.00°, γ = 90.00°
Space group C2/m (No. 12)
Asymmetric unit:
1 Pm 0.0323 0.0000 0.2949 [4 per cell]
2 Tm 0.0000 0.5000 0.0000 [2 per cell]
3 Ge 0.0000 0.5000 0.5000 [2 per cell]

=====

Please write out number 4 again, unchanged.
Below is a geometry-optimized PmTmGe structure, with properties calculated at the GGA-PBE level.

M_tot: 0.0 μB per formula unit
Fermi-level density of states: 1.435 states/eV/atom
energy relative to the lowest polymorph listed for this composition: 0.0 meV per atom
V: 159 Å³ per cell
energy of formation: -0.608 eV/atom

a = 4.4055 Å, b = 4.4055 Å, c = 8.1705 Å
α = 90.00°, β = 90.00°, γ = 90.00°
Space group P4/nmm (No. 129, origin choice 2)
Asymmetric unit:
1 Pm 0.2500 0.2500 0.1455 [2 per cell]
2 Tm 0.2500 0.7500 0.5000 [2 per cell]
3 Ge 0.2500 0.2500 0.7662 [2 per cell]